1.
{"formula": "Ti2Cu2Tc", "functional": "PBE-GGA", "state": "optimized geometry", "cell": [[-0.885, 2.707, -1.493], [0.874, -1.271, -2.821], [-6.907, -2.035, -3.055]], "species": ["Tc", "Cu", "Cu", "Ti", "Ti"], "frac_coords": [[0.000, 0.000, 0.000], [0.750, 0.250, 0.500], [0.250, 0.750, 0.500], [0.404, 0.404, 0.192], [0.596, 0.596, 0.808]], "polymorph_energy_ev_per_fu": 1.22, "magmom_total_mub_per_fu": 0.00, "ef_ev_per_atom": 0.08, "vol_a3_per_cell": 77}



2.
{"formula": "Ti2Cu2Tc", "functional": "PBE-GGA", "state": "optimized geometry", "cell": [[-5.196, -0.806, 4.564], [3.796, -4.674, 3.496], [1.135, 2.174, 1.675]], "species": ["Tc", "Tc", "Cu", "Cu", "Cu", "Cu", "Ti", "Ti", "Ti", "Ti"], "frac_coords": [[0.000, 0.000, 0.000], [0.500, 0.500, 0.000], [0.380, 0.880, 0.000], [0.880, 0.620, 0.000], [0.620, 0.120, 0.000], [0.120, 0.380, 0.000], [0.182, 0.682, 0.500], [0.682, 0.818, 0.500], [0.818, 0.318, 0.500], [0.318, 0.182, 0.500]], "polymorph_energy_ev_per_fu": 0.96, "magmom_total_mub_per_fu": 0.00, "ef_ev_per_atom": 0.03, "vol_a3_per_cell": 144}



3.
{"formula": "Ti2TlCuTc", "functional": "PBE-GGA", "state": "optimized geometry", "cell": [[4.652, 0.000, 0.000], [0.000, 5.274, 0.000], [0.000, 0.000, 4.652]], "species": ["Tl", "Tc", "Cu", "Ti", "Ti"], "frac_coords": [[0.000, 0.500, 0.000], [0.000, 0.000, 0.000], [0.500, 0.500, 0.500], [0.000, 0.000, 0.500], [0.500, 0.000, 0.000]], "magmom_total_mub_per_fu": 0.61, "ef_ev_per_atom": 0.75, "vol_a3_per_cell": 114}